(1)
Compound: PmCoO3
Source: Alexandria via LeMat-Bulk
Functional: PBE+U
Structure: relaxed

Summary:
**SG**: Pm-3m, No. 221
**Electronic total energy**: -7.0111 eV per atom

a b c (Å): 3.768 3.768 3.768
angles (deg): 90.00 90.00 90.00
Fractional coordinates of all 5 atoms:
1 Pm 0.000 0.000 0.000
2 Co 0.500 0.500 0.500
3 O 0.000 0.500 0.500
4 O 0.500 0.000 0.500
5 O 0.500 0.500 0.000

---

(2)
Compound: Pm3CoO7
Source: Alexandria via LeMat-Bulk
Functional: PBE+U
Structure: relaxed

Summary:
**SG**: Cmcm, No. 63
**Density of states at the Fermi level**: 8.2 states/eV/cell
**Electronic total energy**: -7.4008 eV per atom

a b c (Å): 6.516 6.516 7.466
angles (deg): 90.00 90.00 67.35
Fractional coordinates of all 22 atoms:
1 Pm 0.000 0.000 0.000
2 Pm 0.000 0.000 0.500
3 Pm 0.104 0.468 0.750
4 Pm 0.468 0.104 0.250
5 Pm 0.532 0.896 0.750
6 Pm 0.896 0.532 0.250
7 Co 0.500 0.500 0.000
8 Co 0.500 0.500 0.500
9 O 0.103 0.159 0.250
10 O 0.159 0.103 0.750
11 O 0.198 0.558 0.039
12 O 0.198 0.558 0.461
13 O 0.418 0.582 0.750
14 O 0.442 0.802 0.039
15 O 0.442 0.802 0.461
16 O 0.558 0.198 0.539
17 O 0.558 0.198 0.961
18 O 0.582 0.418 0.250
19 O 0.802 0.442 0.539
20 O 0.802 0.442 0.961
21 O 0.841 0.897 0.250
22 O 0.897 0.841 0.750

---

(3)
Compound: Pm2CoO4
Source: Alexandria via LeMat-Bulk
Functional: PBE+U
Structure: relaxed

Summary:
**SG**: Cmce, No. 64
**Density of states at the Fermi level**: 0.1 states/eV/cell
**Electronic total energy**: -7.5991 eV per atom

a b c (Å): 6.765 6.765 5.667
angles (deg): 90.00 90.00 49.46
Fractional coordinates of all 14 atoms:
1 Pm 0.153 0.153 0.000
2 Pm 0.347 0.347 0.500
3 Pm 0.653 0.653 0.500
4 Pm 0.847 0.847 0.000
5 Co 0.000 0.000 0.500
6 Co 0.500 0.500 0.000
7 O 0.010 0.490 0.750
8 O 0.198 0.802 0.777
9 O 0.302 0.698 0.277
10 O 0.490 0.010 0.250
11 O 0.510 0.990 0.750
12 O 0.698 0.302 0.723
13 O 0.802 0.198 0.223
14 O 0.990 0.510 0.250

---

(4)
Compound: Pm4CoO7
Source: Alexandria via LeMat-Bulk
Functional: PBE+U
Structure: relaxed

Summary:
**SG**: C2/m, No. 12
**Density of states at the Fermi level**: 0.5 states/eV/cell
**Electronic total energy**: -7.8362 eV per atom

a b c (Å): 6.814 6.814 9.163
angles (deg): 130.96 130.96 33.77
Fractional coordinates of all 12 atoms:
1 Pm 0.085 0.085 0.392
2 Pm 0.245 0.245 0.154
3 Pm 0.755 0.755 0.846
4 Pm 0.915 0.915 0.608
5 Co 0.500 0.500 0.000
6 O 0.000 0.000 0.000
7 O 0.132 0.132 0.696
8 O 0.296 0.296 0.445
9 O 0.411 0.411 0.103
10 O 0.589 0.589 0.897
11 O 0.704 0.704 0.555
12 O 0.868 0.868 0.304

---

(5)
Compound: PmCoO4
Source: Alexandria via LeMat-Bulk
Functional: PBE+U
Structure: relaxed

Summary:
**SG**: I4_1/amd, No. 141
**Density of states at the Fermi level**: 7.9 states/eV/cell
**Electronic total energy**: -6.6328 eV per atom

a b c (Å): 6.120 6.120 6.120
angles (deg): 105.85 105.85 116.98
Fractional coordinates of all 12 atoms:
1 Pm 0.375 0.625 0.750
2 Pm 0.625 0.375 0.250
3 Co 0.125 0.875 0.250
4 Co 0.875 0.125 0.750
5 O 0.124 0.696 0.428
6 O 0.232 0.304 0.928
7 O 0.304 0.232 0.428
8 O 0.304 0.876 0.072
9 O 0.696 0.124 0.928
10 O 0.696 0.768 0.572
11 O 0.768 0.696 0.072
12 O 0.876 0.304 0.572

---

(6)
Compound: Pm6CoO12
Source: Alexandria via LeMat-Bulk
Functional: PBE+U
Structure: relaxed

Summary:
**SG**: R-3, No. 148
**Density of states at the Fermi level**: 10.2 states/eV/cell
**Electronic total energy**: -7.6288 eV per atom

a b c (Å): 6.617 6.617 6.617
angles (deg): 98.52 98.52 98.52
Fractional coordinates of all 19 atoms:
1 Pm 0.111 0.795 0.640
2 Pm 0.205 0.360 0.889
3 Pm 0.360 0.889 0.205
4 Pm 0.640 0.111 0.795
5 Pm 0.795 0.640 0.111
6 Pm 0.889 0.205 0.360
7 Co 0.500 0.500 0.500
8 O 0.054 0.908 0.323
9 O 0.092 0.677 0.946
10 O 0.211 0.440 0.536
11 O 0.323 0.054 0.908
12 O 0.440 0.536 0.211
13 O 0.464 0.789 0.560
14 O 0.536 0.211 0.440
15 O 0.560 0.464 0.789
16 O 0.677 0.946 0.092
17 O 0.789 0.560 0.464
18 O 0.908 0.323 0.054
19 O 0.946 0.092 0.677

---

Q: Which of these has the highest electronic total energy?
A: PmCoO4